First-principles (PBE with a Hubbard U) data for Rb3Mn2O4 after structural relaxation, as listed in Alexandria via LeMat-Bulk.

a b c (Å): 9.3168 9.3168 8.3405
angles (deg): 116.41 116.41 37.68
With the nearest neighbours (Å) after each atom.
Fractional positions:
1 Rb 0.1129 0.1129 0.0411  5 O 2.84-3.07
2 Rb 0.2498 0.2498 0.6489  6 O 2.97-3.11, 2 Mn 3.19
3 Rb 0.3873 0.3873 0.3168  5 O 2.83-3.07
4 Rb 0.6127 0.6127 0.6832  5 O 2.83-3.07
5 Rb 0.7502 0.7502 0.3511  6 O 2.97-3.11, 2 Mn 3.19
6 Rb 0.8871 0.8871 0.9589  5 O 2.84-3.07
7 Mn 0.0466 0.0466 0.4009  4 O 1.97-2.07
8 Mn 0.4534 0.4534 0.8083  4 O 1.97-2.07
9 Mn 0.5466 0.5466 0.1917  4 O 1.97-2.07
10 Mn 0.9534 0.9534 0.5991  4 O 1.97-2.07
11 O 0.0803 0.0803 0.6742  2 Mn 2.02-2.07
12 O 0.1438 0.6438 0.6444  2 Mn 1.97
13 O 0.3562 0.8562 0.3556  2 Mn 1.97
14 O 0.4197 0.4197 0.0146  2 Mn 2.02-2.07
15 O 0.5803 0.5803 0.9854  2 Mn 2.02-2.07
16 O 0.6438 0.1438 0.6444  2 Mn 1.97
17 O 0.8562 0.3562 0.3556  2 Mn 1.97
18 O 0.9197 0.9197 0.3258  2 Mn 2.02-2.07

Results
V = 195.3 Å³/f.u.
Distance to the lowest polymorph of the same formula = 8 meV/atom
SG = C2/m